DFT (PBE-GGA) results for a relaxed structure of MoIr3Rh.

Calculated values
**E_form**: 1.04 eV/f.u.
**Energy above the most stable polymorph in this dataset**: 0 meV/atom
**Calculated total energy**: -87.4 eV/cell
**Total magnetization**: 0.00 μB/f.u.
**V**: 16.104 Å³ per atom
**N(E_F)**: 7.9 states/eV/cell

a = 4.992 Å, b = 4.992 Å, c = 8.029 Å
α = 90.00°, β = 90.00°, γ = 126.41°
Fractional coordinates of all 10 atoms:
Mo 0.116 0.116 0.000
Mo 0.116 0.116 0.500
Ir 0.610 0.073 0.091
Ir 0.610 0.073 0.409
Ir 0.475 0.449 0.750
Ir 0.073 0.610 0.591
Ir 0.073 0.610 0.909
Ir 0.449 0.475 0.250
Rh 0.663 0.048 0.750
Rh 0.048 0.663 0.250

=====

DFT (PBE-GGA) results for a relaxed structure of BiIr2C2.

Calculated values
**E_form**: 7.70 eV/f.u.
**Calculated total energy**: -64.7 eV/cell
**Total magnetization**: 0.00 μB/f.u.
**V**: 15.648 Å³ per atom
**N(E_F)**: 8.6 states/eV/cell

a = 7.085 Å, b = 7.085 Å, c = 3.117 Å
α = 90.00°, β = 90.00°, γ = 90.00°
Fractional coordinates of all 10 atoms:
C 0.428 0.928 0.000
C 0.928 0.572 0.000
C 0.572 0.072 0.000
C 0.072 0.428 0.000
Ir 0.133 0.633 0.500
Ir 0.633 0.867 0.500
Ir 0.867 0.367 0.500
Ir 0.367 0.133 0.500
Bi 0.000 0.000 0.000
Bi 0.500 0.500 0.000

=====

DFT (PBE-GGA) results for a relaxed structure of PuMnAu.

Calculated values
**E_form**: 1.17 eV/f.u.
**Energy above the most stable polymorph in this dataset**: 260 meV/atom
**Calculated total energy**: -51.2 eV/cell
**Total magnetization**: 7.71 μB/f.u.
**V**: 18.879 Å³ per atom
**N(E_F)**: 9.7 states/eV/cell

a = 2.761 Å, b = 4.800 Å, c = 8.923 Å
α = 90.31°, β = 90.00°, γ = 106.72°
Fractional coordinates of all 6 atoms:
Pu 0.376 0.753 0.940
Pu 0.624 0.247 0.060
Mn 0.639 0.278 0.723
Mn 0.361 0.722 0.277
Au 0.370 0.741 0.594
Au 0.630 0.259 0.406

=====

DFT (PBE-GGA) results for a relaxed structure of Tb3ScBi4.

Calculated values
**E_form**: -6.51 eV/f.u.
**Energy above the most stable polymorph in this dataset**: 0 meV/atom
**Calculated total energy**: -42.3 eV/cell
**Total magnetization**: 0.00 μB/f.u.
**V**: 30.972 Å³ per atom
**N(E_F)**: 1.4 states/eV/cell

a = 4.441 Å, b = 7.692 Å, c = 7.692 Å
α = 109.46°, β = 90.00°, γ = 90.00°
Fractional coordinates of all 8 atoms:
Tb 0.000 0.000 0.500
Tb 0.500 0.500 0.500
Tb 0.000 0.500 0.000
Sc 0.500 0.000 0.000
Bi 0.000 0.240 0.240
Bi 0.500 0.755 0.245
Bi 0.000 0.760 0.760
Bi 0.500 0.245 0.755

=====

DFT (PBE-GGA) results for a relaxed structure of Tl3Hg7Sb.

Calculated values
**E_form (uncorrected)**: -10 meV/atom
**Calculated total energy**: -26.9 eV/cell
**Total magnetization**: 0.00 μB/f.u.
**V**: 30.700 Å³ per atom
**N(E_F)**: 3.9 states/eV/cell

a = 12.782 Å, b = 12.782 Å, c = 11.084 Å
α = 90.00°, β = 90.00°, γ = 158.10°
Fractional coordinates of all 22 atoms:
Tl 0.927 0.073 0.410
Tl 0.073 0.927 0.590
Tl 0.830 0.170 0.750
Tl 0.170 0.830 0.250
Tl 0.927 0.073 0.090
Tl 0.073 0.927 0.910
Hg 0.645 0.355 0.750
Hg 0.355 0.645 0.250
Hg 0.546 0.454 0.410
Hg 0.454 0.546 0.590
Hg 0.454 0.546 0.910
Hg 0.546 0.454 0.090
Hg 0.667 0.333 0.446
Hg 0.333 0.667 0.554
Hg 0.788 0.212 0.394
Hg 0.212 0.788 0.606
Hg 0.212 0.788 0.894
Hg 0.788 0.212 0.106
Hg 0.667 0.333 0.054
Hg 0.333 0.667 0.946
Sb 0.041 0.959 0.250
Sb 0.959 0.041 0.750

=====

DFT (PBE-GGA) results for a relaxed structure of NaTcO3.

Calculated values
**E_form (uncorrected)**: -702 meV/atom
**Calculated total energy**: -60.1 eV/cell
**Total magnetization**: 0.00 μB/f.u.
**V**: 11.679 Å³ per atom
**N(E_F)**: 1.1 states/eV/cell

a = 7.025 Å, b = 7.025 Å, c = 4.705 Å
α = 90.00°, β = 90.00°, γ = 149.80°
Fractional coordinates of all 10 atoms:
Na 0.171 0.829 0.250
Na 0.829 0.171 0.750
Tc 0.454 0.546 0.250
Tc 0.546 0.454 0.750
O 0.042 0.376 0.250
O 0.624 0.958 0.250
O 0.376 0.042 0.750
O 0.958 0.624 0.750
O 0.000 0.000 0.000
O 0.000 0.000 0.500